Record 1
A relaxed TbPm2Tm3Bi6 crystal. Source: Alexandria via LeMat-Bulk, functional GGA-PBE.

The structure belongs to space group C2/m (No. 12); the cell edges are 19.569, 4.493 and 8.981 Å and the angles 90.00°, 103.13° and 90.00°. The asymmetric unit holds Tb at (0.000, 0.000, 0.000), Pm at (0.166, 0.500, 0.333), Tm at (0.000, 0.000, 0.500), Tm at (0.168, 0.500, 0.834), Bi at (0.003, 0.500, 0.749), Bi at (0.164, 0.000, 0.589) and Bi at (0.167, 0.000, 0.076).

As for the crystal system: monoclinic. The calculated formation energy is -0.85 eV per atom. For the density, the calculation gives 9.54 g cm⁻³. The calculation puts the total magnetization at 0.00 μB per formula unit. The value obtained for the calculated volume is 32.041 A^3/atom.

Record 2
A relaxed MgSi2Pt crystal. Source: Alexandria via LeMat-Bulk, functional GGA-PBE.

The structure belongs to space group P4mm (No. 99); the cell edges are 3.270, 3.270 and 5.951 Å and the angles 90.00°, 90.00° and 90.00°. The asymmetric unit holds Mg at (0.000, 0.000, 0.000), Si at (0.000, 0.000, 0.496), Si at (0.500, 0.500, 0.718) and Pt at (0.500, 0.500, 0.295).

As for the crystal system: tetragonal. For the density, the calculation gives 7.19 g cm⁻³. The calculation puts the total magnetization at 0.00 μB per formula unit. The value obtained for the calculated volume is 15.907 A^3/atom.

Record 3
A relaxed La8Si3Br3O crystal. Source: Alexandria via LeMat-Bulk, functional GGA-PBE.

The structure belongs to space group C2/m (No. 12); the cell edges are 14.628, 8.438 and 8.917 Å and the angles 90.00°, 123.18° and 90.00°. The asymmetric unit holds La at (0.009, 0.229, 0.298), La at (0.220, 0.000, 0.702), La at (0.240, 0.500, 0.719), Si at (0.000, 0.500, 0.500), Si at (0.250, 0.250, 0.500), Br at (0.000, 0.000, 0.000), Br at (0.250, 0.250, 0.000) and O at (0.000, 0.000, 0.500).

As for the crystal system: monoclinic. For the density, the calculation gives 5.23 g cm⁻³. The calculation puts the total magnetization at 0.99 μB per formula unit. The value obtained for the calculated volume is 30.706 A^3/atom.

Record 4
A relaxed CaGa2Co2Si crystal. Source: Alexandria via LeMat-Bulk, functional GGA-PBE.

The structure belongs to space group P4/mmm (No. 123); the cell edges are 4.252, 4.252 and 5.640 Å and the angles 90.00°, 90.00° and 90.00°. The asymmetric unit holds Ca at (0.000, 0.000, 0.000), Ga at (0.500, 0.500, 0.243), Co at (0.000, 0.500, 0.500) and Si at (0.000, 0.000, 0.500).

As for the crystal system: tetragonal. For the density, the calculation gives 5.30 g cm⁻³. The calculation puts the total magnetization at 0.88 μB per formula unit. The value obtained for the calculated volume is 16.997 A^3/atom.

Record 5
A relaxed MgGa crystal. Source: Alexandria via LeMat-Bulk, functional GGA-PBE.

The structure belongs to space group Cm (No. 8); the cell edges are 10.641, 3.164 and 7.541 Å and the angles 90.00°, 111.26° and 90.00°. The asymmetric unit holds Mg at (0.000, 0.000, 0.000), Mg at (0.024, 0.000, 0.593), Mg at (0.192, 0.500, 0.352), Ga at (0.214, 0.500, 0.943), Ga at (0.313, 0.000, 0.692) and Ga at (0.394, 0.000, 0.247).

As for the crystal system: monoclinic. The calculated formation energy is -0.12 eV per atom. For the density, the calculation gives 3.96 g cm⁻³. The calculation puts the total magnetization at 0.00 μB per formula unit. The value obtained for the calculated volume is 19.716 A^3/atom.

Record 6
A relaxed HfZr2FeC crystal. Source: Alexandria via LeMat-Bulk, functional GGA-PBE.

The structure belongs to space group P4/mmm (No. 123); the cell edges are 5.252, 5.252 and 4.124 Å and the angles 90.00°, 90.00° and 90.00°. The asymmetric unit holds Hf at (0.000, 0.000, 0.000), Zr at (0.000, 0.500, 0.000), Fe at (0.500, 0.500, 0.500) and C at (0.000, 0.000, 0.500).

As for the crystal system: tetragonal. The calculated formation energy is 1.67 eV per atom. For the density, the calculation gives 6.26 g cm⁻³. The calculation puts the total magnetization at 2.04 μB per formula unit. The value obtained for the calculated volume is 22.752 A^3/atom.

Record 7
A relaxed Tm2PaAs crystal. Source: Alexandria via LeMat-Bulk, functional GGA-PBE.

The structure belongs to space group R-3m (No. 166, hexagonal axes); the cell edges are 3.5491, 3.5491 and 30.6333 Å and the angles 90.00°, 90.00° and 120.00°. The asymmetric unit holds Tm at (0.0000, 0.0000, 0.1079), Pa at (0.0000, 0.0000, 0.0000) and As at (0.0000, 0.0000, 0.5000).

As for the crystal system: trigonal. The calculated formation energy is -0.10 eV per atom. For the density, the calculation gives 9.60 g cm⁻³. The calculation puts the total magnetization at 0.01 μB per formula unit. The value obtained for the calculated volume is 27.847 A^3/atom.

Record 8
A relaxed Pa2ZnO6 crystal. Source: Alexandria via LeMat-Bulk, functional GGA-PBE.

The structure belongs to space group C2/m (No. 12); the cell edges are 11.905, 3.986 and 5.996 Å and the angles 90.00°, 115.37° and 90.00°. The asymmetric unit holds Pa at (0.177, 0.000, 0.184), Zn at (0.000, 0.000, 0.500), O at (0.015, 0.000, 0.812), O at (0.164, 0.500, 0.489) and O at (0.208, 0.500, 0.068).

As for the crystal system: monoclinic. For the density, the calculation gives 8.05 g cm⁻³. The calculation puts the total magnetization at 0.00 μB per formula unit. The value obtained for the calculated volume is 14.283 A^3/atom.

Record 9
A relaxed Re2NiOs crystal. Source: Alexandria via LeMat-Bulk, functional GGA-PBE.

The structure belongs to space group Cmmm (No. 65); the cell edges are 5.339, 7.672 and 2.725 Å and the angles 90.00°, 90.00° and 90.00°. The asymmetric unit holds Re at (0.250, 0.250, 0.000), Ni at (0.000, 0.000, 0.500) and Os at (0.000, 0.500, 0.500).

As for the crystal system: orthorhombic. The calculated formation energy is 0.08 eV per atom. The energy above the most stable polymorph in this dataset comes out at 0.57 eV per formula unit. For the density, the calculation gives 18.48 g cm⁻³. The calculation puts the total magnetization at 0.00 μB per formula unit. The value obtained for the calculated volume is 13.955 A^3/atom.

Record 10
A relaxed SrTcP2 crystal. Source: Alexandria via LeMat-Bulk, functional GGA-PBE.

The structure belongs to space group Imm2 (No. 44); the cell edges are 3.191, 3.448 and 14.035 Å and the angles 90.00°, 90.00° and 90.00°. The asymmetric unit holds Sr at (0.000, 0.000, 0.000), Tc at (0.000, 0.500, 0.746), P at (0.000, 0.000, 0.370) and P at (0.000, 0.500, 0.176).

As for the crystal system: orthorhombic. The calculated formation energy is -0.40 eV per atom. The energy above the most stable polymorph in this dataset comes out at 0.69 eV per formula unit. For the density, the calculation gives 5.32 g cm⁻³. The calculation puts the total magnetization at 0.00 μB per formula unit. The value obtained for the calculated volume is 19.301 A^3/atom.

Record 11
A relaxed LiFe crystal. Source: Alexandria via LeMat-Bulk, functional GGA-PBE.

The structure belongs to space group P4_12_12 (No. 92); the cell edges are 4.980, 4.980 and 7.331 Å and the angles 90.00°, 90.00° and 90.00°. The asymmetric unit holds Li at (0.023, 0.187, 0.368) and Fe at (0.071, 0.326, 0.912).

As for the crystal system: tetragonal. The calculated formation energy is 0.37 eV per atom. For the density, the calculation gives 4.59 g cm⁻³. The calculation puts the total magnetization at 0.00 μB per formula unit. The value obtained for the calculated volume is 11.362 A^3/atom.

Record 12
A relaxed GaTeSe crystal. Source: Alexandria via LeMat-Bulk, functional GGA-PBE.

The structure belongs to space group Cm (No. 8); the cell edges are 6.313, 3.802 and 8.197 Å and the angles 90.00°, 108.15° and 90.00°. The asymmetric unit holds Ga at (0.000, 0.000, 0.000), Te at (0.141, 0.000, 0.329) and Se at (0.099, 0.500, 0.845).

As for the crystal system: monoclinic. The energy above the most stable polymorph in this dataset comes out at 0.00 eV per formula unit. For the density, the calculation gives 4.91 g cm⁻³. The calculation puts the total magnetization at 0.00 μB per formula unit. The value obtained for the calculated volume is 31.163 A^3/atom.

Number 1: DFT total energy -5.0845 eV per atom. Number 2: DFT total energy -4.8115 eV per atom. Number 3: DFT total energy -5.5686 eV per atom. Number 4: DFT total energy -4.8859 eV per atom. Number 5: DFT total energy -2.4276 eV per atom. Number 6: DFT total energy -7.2780 eV per atom. Number 7: DFT total energy -5.8685 eV per atom. Number 8: DFT total energy -8.5292 eV per atom. Number 9: DFT total energy -10.3933 eV per atom. Number 10: DFT total energy -6.1175 eV per atom. Number 11: DFT total energy -4.8202 eV per atom. Number 12: DFT total energy -3.5498 eV per atom.